Below is a relaxed structure of Cd2Ga2Fe, with properties calculated at the GGA-PBE level.

Properties
Energy of formation ... 0.249 eV per atom

a = 6.5868 Å, b = 6.5868 Å, c = 4.2949 Å
α = 90.00°, β = 90.00°, γ = 90.00°
Fractional positions:
Cd 0.1721 0.3279 0.0000
Cd 0.3279 0.8279 0.0000
Cd 0.6721 0.1721 0.0000
Cd 0.8279 0.6721 0.0000
Ga 0.1446 0.6446 0.5000
Ga 0.3554 0.1446 0.5000
Ga 0.6446 0.8554 0.5000
Ga 0.8554 0.3554 0.5000
Fe 0.0000 0.0000 0.5000
Fe 0.5000 0.5000 0.5000

***

Below is a relaxed structure of Re2MoPb, with properties calculated at the GGA-PBE level.

Properties
Energy of formation ... 0.629 eV per atom

a = 2.9147 Å, b = 3.9924 Å, c = 6.2423 Å
α = 90.00°, β = 90.00°, γ = 90.00°
Fractional positions:
Re 0.0000 0.0000 0.0000
Re 0.5000 0.5000 0.1621
Mo 0.0000 0.0000 0.3938
Pb 0.5000 0.5000 0.6761

***

Below is a relaxed structure of La2YHo4, with properties calculated at the GGA-PBE level.

Properties
Energy of formation ... 0.027 eV per atom

a = 7.1915 Å, b = 8.0345 Å, c = 8.8061 Å
α = 111.26°, β = 90.20°, γ = 102.89°
Fractional positions:
La 0.0000 0.0000 0.0000
La 0.0698 0.2833 0.4270
La 0.3571 0.4368 0.1443
La 0.4964 0.0001 0.9976
Y 0.7817 0.1454 0.7118
Y 0.9260 0.7169 0.5709
Ho 0.1397 0.5707 0.8533
Ho 0.2128 0.8595 0.2891
Ho 0.2853 0.1449 0.7115
Ho 0.4274 0.7179 0.5714
Ho 0.5688 0.2882 0.4294
Ho 0.6410 0.5691 0.8511
Ho 0.7122 0.8574 0.2879
Ho 0.8569 0.4356 0.1436

***

Below is a relaxed structure of Y2CdBi, with properties calculated at the GGA-PBE level.

Properties
Energy of formation ... -0.269 eV per atom

a = 6.8614 Å, b = 6.8614 Å, c = 6.8614 Å
α = 105.57°, β = 105.57°, γ = 117.59°
Fractional positions:
Y 0.1225 0.6250 0.9975
Y 0.3750 0.3725 0.4975
Y 0.6275 0.1250 0.0025
Y 0.8750 0.8775 0.5025
Cd 0.0000 0.0000 0.0000
Cd 0.7500 0.2500 0.5000
Bi 0.2500 0.7500 0.5000
Bi 0.5000 0.5000 0.0000

***

Below is a relaxed structure of HoTmHf2, with properties calculated at the GGA-PBE level.

Properties
Energy of formation ... 0.168 eV per atom

a = 11.0378 Å, b = 11.0378 Å, c = 11.0378 Å
α = 17.15°, β = 17.15°, γ = 17.15°
Fractional positions:
Ho 0.0000 0.0000 0.0000
Tm 0.5000 0.5000 0.5000
Hf 0.2497 0.2497 0.2497
Hf 0.7503 0.7503 0.7503

***

Below is a relaxed structure of Ca2In2Hg2Pb, with properties calculated at the GGA-PBE level.

Properties
Energy of formation ... -0.222 eV per atom

a = 8.9727 Å, b = 8.9727 Å, c = 8.9727 Å
α = 33.78°, β = 33.78°, γ = 33.78°
Fractional positions:
Ca 0.1280 0.1280 0.1280
Ca 0.8720 0.8720 0.8720
In 0.2674 0.2674 0.2674
In 0.7326 0.7326 0.7326
Hg 0.4304 0.4304 0.4304
Hg 0.5696 0.5696 0.5696
Pb 0.0000 0.0000 0.0000

***

Below is a relaxed structure of RuCl6, with properties calculated at the GGA-PBE level.

Properties
Formation energy (no corrections) ... -0.253 eV per atom

a = 6.2935 Å, b = 6.2935 Å, c = 5.3278 Å
α = 90.00°, β = 90.00°, γ = 120.00°
Fractional positions:
Ru 0.0000 0.0000 0.0000
Cl 0.0000 0.2980 0.2499
Cl 0.0000 0.7020 0.7501
Cl 0.2980 0.0000 0.2499
Cl 0.2980 0.2980 0.7501
Cl 0.7020 0.0000 0.7501
Cl 0.7020 0.7020 0.2499

***

Below is a relaxed structure of La2ScIr, with properties calculated at the GGA-PBE level.

Properties
Energy of formation ... -0.098 eV per atom

a = 5.2383 Å, b = 5.2383 Å, c = 5.2383 Å
α = 60.00°, β = 60.00°, γ = 60.00°
Fractional positions:
La 0.2500 0.2500 0.2500
La 0.7500 0.7500 0.7500
Sc 0.0000 0.0000 0.0000
Ir 0.5000 0.5000 0.5000

***

Below is a relaxed structure of ErScGaAu, with properties calculated at the GGA-PBE level.

Properties
Energy of formation ... -0.716 eV per atom

a = 3.4404 Å, b = 3.4404 Å, c = 7.0868 Å
α = 90.00°, β = 90.00°, γ = 90.00°
Fractional positions:
Er 0.0000 0.0000 0.0000
Sc 0.0000 0.0000 0.4961
Ga 0.5000 0.5000 0.7311
Au 0.5000 0.5000 0.2721

***

> Number 8 is which compound?

La2ScIr